Entry 1:
# Ag2RhCl5 | Alexandria | PBE-GGA | relaxed
# Energy relative to the elements, uncorrected in meV/atom: -440
# Polymorph energy (0 for the lowest one) in eV per atom: 0.026
# SG: Cm (8)
# Magnetic moment in μB/f.u.: 0.00
data_Ag2RhCl5
_chemical_formula_sum 'Ag2 Rh1 Cl5'
_space_group_name_H-M_alt 'P 1'
_space_group_IT_number 1
_cell_length_a 6.929
_cell_length_b 6.929
_cell_length_c 4.854
_cell_angle_alpha 109.29
_cell_angle_beta 109.29
_cell_angle_gamma 83.50
loop_
_space_group_symop_operation_xyz
'x,y,z'
loop_
_atom_site_label
_atom_site_fract_x
_atom_site_fract_y
_atom_site_fract_z
Ag1 0.235 0.765 0.000
Ag2 0.765 0.235 0.000
Rh1 0.235 0.235 0.541
Cl1 0.199 0.199 0.002
Cl2 0.489 0.489 0.794
Cl3 0.494 0.981 0.539
Cl4 0.977 0.977 0.286
Cl5 0.981 0.494 0.539

Entry 2:
# Pm2PrDy4 | Alexandria | PBE-GGA | relaxed
# Energy of formation in eV/atom: 0.318
# Polymorph energy (0 for the lowest one) in eV per atom: 0.199
# SG: C2/m (12)
# Magnetic moment in μB/f.u.: 0.59
data_Pm2PrDy4
_chemical_formula_sum 'Pm4 Pr2 Dy8'
_space_group_name_H-M_alt 'P 1'
_space_group_IT_number 1
_cell_length_a 7.790
_cell_length_b 7.790
_cell_length_c 8.156
_cell_angle_alpha 90.07
_cell_angle_beta 90.07
_cell_angle_gamma 90.00
loop_
_space_group_symop_operation_xyz
'x,y,z'
loop_
_atom_site_label
_atom_site_fract_x
_atom_site_fract_y
_atom_site_fract_z
Pm1 0.000 0.000 0.000
Pm2 0.000 0.000 0.500
Pm3 0.000 0.500 0.000
Pm4 0.500 0.000 0.000
Pr1 0.500 0.500 0.000
Pr2 0.500 0.500 0.500
Dy1 0.248 0.751 0.720
Dy2 0.249 0.249 0.280
Dy3 0.249 0.249 0.720
Dy4 0.249 0.752 0.280
Dy5 0.751 0.248 0.720
Dy6 0.751 0.751 0.280
Dy7 0.751 0.751 0.720
Dy8 0.752 0.249 0.280

Entry 3:
# Sb2TeIO | Alexandria | PBE-GGA | relaxed
# Energy relative to the elements, uncorrected in meV/atom: 251
# Polymorph energy (0 for the lowest one) in eV per atom: 0.000
# SG: P4/mmm (123)
# Magnetic moment in μB/f.u.: 0.00
data_Sb2TeIO
_chemical_formula_sum 'Sb2 Te1 I1 O1'
_space_group_name_H-M_alt 'P 1'
_space_group_IT_number 1
_cell_length_a 4.940
_cell_length_b 4.940
_cell_length_c 5.058
_cell_angle_alpha 90.00
_cell_angle_beta 90.00
_cell_angle_gamma 90.00
loop_
_space_group_symop_operation_xyz
'x,y,z'
loop_
_atom_site_label
_atom_site_fract_x
_atom_site_fract_y
_atom_site_fract_z
Sb1 0.000 0.500 0.000
Sb2 0.500 0.000 0.000
Te1 0.000 0.000 0.500
I1 0.500 0.500 0.500
O1 0.500 0.500 0.000

Entry 4:
# VMoPd3 | Alexandria | PBE-GGA | relaxed
# Energy of formation in eV/atom: -0.112
# Polymorph energy (0 for the lowest one) in eV per atom: 0.000
# SG: C2/m (12)
# Magnetic moment in μB/f.u.: 0.97
data_VMoPd3
_chemical_formula_sum 'V2 Mo2 Pd6'
_space_group_name_H-M_alt 'P 1'
_space_group_IT_number 1
_cell_length_a 7.386
_cell_length_b 7.386
_cell_length_c 5.592
_cell_angle_alpha 101.92
_cell_angle_beta 101.92
_cell_angle_gamma 30.20
loop_
_space_group_symop_operation_xyz
'x,y,z'
loop_
_atom_site_label
_atom_site_fract_x
_atom_site_fract_y
_atom_site_fract_z
V1 0.103 0.103 0.050
V2 0.897 0.897 0.950
Mo1 0.299 0.299 0.636
Mo2 0.701 0.701 0.364
Pd1 0.102 0.102 0.550
Pd2 0.300 0.300 0.143
Pd3 0.498 0.498 0.761
Pd4 0.502 0.502 0.239
Pd5 0.700 0.700 0.857
Pd6 0.898 0.898 0.450